1.
This record from Alexandria via LeMat-Bulk describes a geometry-optimized Na4Tl3Pb5 structure. The functional is PBE.

Cell lengths 7.926, 7.926, 11.113 Å; angles 121.33, 121.33, 43.09 degrees
Fractional positions:
Na: 0.050 0.050 0.333
Na: 0.243 0.243 0.718
Na: 0.757 0.757 0.282
Na: 0.950 0.950 0.667
Tl: 0.191 0.191 0.956
Tl: 0.500 0.500 0.000
Tl: 0.809 0.809 0.044
Pb: 0.000 0.000 0.000
Pb: 0.318 0.318 0.496
Pb: 0.409 0.409 0.293
Pb: 0.591 0.591 0.707
Pb: 0.682 0.682 0.504

Properties
- DFT total energy: -0.0941 Ha/atom
- Calculated formation energy: 15 meV per atom
- M_tot: 0.00 μB/f.u.

***

2.
This record from Alexandria via LeMat-Bulk describes a geometry-optimized NaTl4Pb2 structure. The functional is PBE.

Cell lengths 8.409, 8.409, 8.453 Å; angles 115.07, 115.07, 23.81 degrees
Fractional positions:
Na: 0.000 0.000 0.000
Tl: 0.077 0.077 0.708
Tl: 0.361 0.361 0.592
Tl: 0.639 0.639 0.408
Tl: 0.923 0.923 0.292
Pb: 0.223 0.223 0.146
Pb: 0.777 0.777 0.854

Properties
- DFT total energy: -0.0962 Ha/atom
- Calculated formation energy: -18 meV per atom
- M_tot: 0.00 μB/f.u.

***

3.
This record from Alexandria via LeMat-Bulk describes a geometry-optimized Na7Tl2Pb structure. The functional is PBE.

Cell lengths 10.801, 10.801, 3.440 Å; angles 90.00, 90.00, 120.14 degrees
Fractional positions:
Na: 0.000 0.000 0.000
Na: 0.186 0.369 0.000
Na: 0.313 0.687 0.500
Na: 0.369 0.186 0.000
Na: 0.631 0.814 0.000
Na: 0.687 0.313 0.500
Na: 0.814 0.631 0.000
Tl: 0.167 0.833 0.000
Tl: 0.833 0.167 0.000
Pb: 0.500 0.500 0.500

Properties
- DFT total energy: -0.0640 Ha/atom
- Calculated formation energy: 25 meV per atom
- M_tot: 0.00 μB/f.u.

***

4.
This record from Alexandria via LeMat-Bulk describes a geometry-optimized Na6TlPb2 structure. The functional is PBE.

Cell lengths 6.421, 6.421, 6.324 Å; angles 94.78, 94.78, 95.27 degrees
Fractional positions:
Na: 0.167 0.833 0.000
Na: 0.169 0.499 0.331
Na: 0.499 0.169 0.331
Na: 0.501 0.831 0.669
Na: 0.831 0.501 0.669
Na: 0.833 0.167 0.000
Tl: 0.000 0.000 0.500
Pb: 0.327 0.327 0.827
Pb: 0.673 0.673 0.173

Properties
- DFT total energy: -0.0768 Ha/atom
- Calculated formation energy: -123 meV per atom
- M_tot: 0.00 μB/f.u.